# 1
Compound: Er6Tl5Hg
Source: Alexandria via LeMat-Bulk
Functional: PBE-GGA
Structure: optimized geometry

Results
density of states at the Fermi level = 9.80 states/eV/cell
crystal system = orthorhombic
symmetry = Cmmm, No. 65
polymorph energy (0 for the lowest one) = 0.000 eV/atom

Cell lengths 8.4539, 8.4539, 7.4192 Å; angles 90.00, 90.00, 143.20 degrees
Atoms (fractional coordinates):
Er 0.0000 0.0000 0.2467
Er 0.0000 0.0000 0.7533
Er 0.3350 0.6650 0.2477
Er 0.3350 0.6650 0.7523
Er 0.6650 0.3350 0.2477
Er 0.6650 0.3350 0.7523
Tl 0.1653 0.8347 0.0000
Tl 0.1675 0.8325 0.5000
Tl 0.5000 0.5000 0.5000
Tl 0.8325 0.1675 0.5000
Tl 0.8347 0.1653 0.0000
Hg 0.5000 0.5000 0.0000

---

# 2
Compound: Er2Tl3Hg
Source: Alexandria via LeMat-Bulk
Functional: PBE-GGA
Structure: optimized geometry

Results
density of states at the Fermi level = 5.45 states/eV/cell
electronic total energy = -35.01 eV for the cell shown
crystal system = monoclinic
symmetry = C2/c, No. 15

Cell lengths 8.8386, 8.8386, 6.6040 Å; angles 111.87, 111.87, 43.77 degrees
Atoms (fractional coordinates):
Er 0.0967 0.6088 0.8532
Er 0.3912 0.9033 0.6468
Er 0.6088 0.0967 0.3532
Er 0.9033 0.3912 0.1468
Tl 0.0958 0.6052 0.3507
Tl 0.3948 0.9042 0.1493
Tl 0.5002 0.4998 0.2500
Tl 0.4998 0.5002 0.7500
Tl 0.6052 0.0958 0.8507
Tl 0.9042 0.3948 0.6493
Hg 0.9999 0.0001 0.2500
Hg 0.0001 0.9999 0.7500